Entry 1:
Density functional theory data (SCAN) for Sb2Te3 at its PBEsol-relaxed geometry.

## Properties
SG = Fdd2 (43)
DFT total energy = -37.267 eV/atom
Raw formation energy = -0.012 eV/atom

The structure in POSCAR format:
```
Sb2Te3
1.0
0.0000 6.8605 3.5287
6.5860 0.0000 3.5287
6.5860 6.8605 0.0000
Sb Te
4 6
direct
0.0676 0.4324 0.1766
0.0734 0.9266 0.1824
0.4324 0.0676 0.3234
0.9266 0.0734 0.8176
0.3006 0.4942 0.2994
0.3442 0.9506 0.7558
0.4942 0.3006 0.9058
0.6491 0.6491 0.3509
0.8991 0.8991 0.6009
0.9506 0.3442 0.9494
```

Entry 2:
Density functional theory data (SCAN) for Co2NiHg at its PBEsol-relaxed geometry.

## Properties
SG = Cm (8)
DFT total energy = -29.392 eV/atom
ΔH_f (0 K) = 0.345 eV per atom

The structure in POSCAR format:
```
Co2NiHg
1.0
4.1864 -1.3556 0.0000
4.1864 1.3556 0.0000
-0.9183 0.0000 4.5352
Co Ni Hg
2 1 1
direct
0.0000 0.0000 0.0000
0.7374 0.7374 0.1900
0.2579 0.2579 0.7718
0.4984 0.4984 0.4951
```

Entry 3:
Density functional theory data (SCAN) for Zn2BAuBr at its PBEsol-relaxed geometry.

## Properties
SG = P4/mmm (123)
DFT total energy = -24.160 eV/atom
Raw formation energy = 0.456 eV/atom

The structure in POSCAR format:
```
Zn2BAuBr
1.0
4.0618 0.0000 0.0000
0.0000 4.0618 0.0000
0.0000 0.0000 5.2636
Zn B Au Br
2 1 1 1
direct
0.0000 0.5000 0.0000
0.5000 0.0000 0.0000
0.0000 0.0000 0.0000
0.5000 0.5000 0.5000
0.0000 0.0000 0.5000
```

Entry 4:
Density functional theory data (SCAN) for NiAgHg at its PBEsol-relaxed geometry.

## Properties
SG = I4mm (107)
DFT total energy = -38.330 eV/atom
ΔH_f (0 K) = 0.239 eV per atom

The structure in POSCAR format:
```
NiAgHg
1.0
-1.4790 1.4790 5.3574
1.4790 -1.4790 5.3574
1.4790 1.4790 -5.3574
Ni Ag Hg
1 1 1
direct
0.0000 0.0000 0.0000
0.6512 0.6512 0.0000
0.3452 0.3452 0.0000
```

Entry 5:
Density functional theory data (SCAN) for Be2AgHI at its PBEsol-relaxed geometry.

## Properties
SG = P4/mmm (123)
DFT total energy = -14.891 eV/atom

The structure in POSCAR format:
```
Be2AgHI
1.0
4.4326 0.0000 0.0000
0.0000 4.4326 0.0000
0.0000 0.0000 5.6426
Be Ag H I
2 1 1 1
direct
0.0000 0.5000 0.0000
0.5000 0.0000 0.0000
0.0000 0.0000 0.0000
0.5000 0.5000 0.5000
0.0000 0.0000 0.5000
```

Entry 6:
Density functional theory data (SCAN) for HgAs4S4I2 at its PBEsol-relaxed geometry.

## Properties
SG = P2_1/c (14)
DFT total energy = -23.915 eV/atom
Raw formation energy = -0.195 eV/atom

The structure in POSCAR format:
```
HgAs4S4I2
1.0
9.3012 0.0000 0.0000
0.0000 14.9027 0.0000
-7.0465 0.0000 9.0349
Hg As S I
4 16 16 8
direct
0.2316 0.0409 0.0246
0.2316 0.4591 0.5246
0.7684 0.5409 0.4754
0.7684 0.9591 0.9754
0.1034 0.5416 0.8843
0.1034 0.9584 0.3843
0.2748 0.6566 0.2159
0.2748 0.8434 0.7159
0.3780 0.0412 0.6058
0.3780 0.4588 0.1058
0.4595 0.6940 0.1223
0.4595 0.8060 0.6223
0.5405 0.1940 0.3777
0.5405 0.3060 0.8777
0.6220 0.5412 0.8942
0.6220 0.9588 0.3942
0.7252 0.1566 0.2841
0.7252 0.3434 0.7841
0.8966 0.0416 0.6157
0.8966 0.4584 0.1157
0.0097 0.6217 0.9945
0.0097 0.8783 0.4945
0.2536 0.6591 0.8810
0.2536 0.8409 0.3810
0.3614 0.5110 0.2833
0.3614 0.9890 0.7833
0.3962 0.0584 0.3289
0.3962 0.4416 0.8289
0.6038 0.5584 0.1711
0.6038 0.9416 0.6711
0.6386 0.0110 0.2167
0.6386 0.4890 0.7167
0.7464 0.1591 0.6190
0.7464 0.3409 0.1190
0.9903 0.1217 0.5055
0.9903 0.3783 0.0055
0.1241 0.6296 0.4696
0.1241 0.8704 0.9696
0.2728 0.2105 0.9755
0.2728 0.2895 0.4755
0.7272 0.7105 0.5245
0.7272 0.7895 0.0245
0.8759 0.1296 0.0304
0.8759 0.3704 0.5304
```

Entry 7:
Density functional theory data (SCAN) for Li10CoSi2O10 at its PBEsol-relaxed geometry.

## Properties
SG = P-1 (2)
DFT total energy = -7.714 eV/atom
Raw formation energy = -2.342 eV/atom

The structure in POSCAR format:
```
Li10CoSi2O10
1.0
5.0764 0.0000 0.0000
0.0017 6.1010 0.0000
2.2917 3.0457 14.5799
Li Co Si O
20 2 4 20
direct
0.0649 0.3294 0.3437
0.1184 0.6401 0.1403
0.1187 0.2196 0.1406
0.2200 0.8654 0.2694
0.2460 0.3439 0.7370
0.2458 0.9185 0.7369
0.2631 0.5078 0.9841
0.3223 0.7301 0.5400
0.3937 0.0511 0.3897
0.3943 0.5595 0.3898
0.6057 0.4405 0.6102
0.6063 0.9489 0.6103
0.6777 0.2699 0.4600
0.7369 0.4922 0.0159
0.7542 0.0815 0.2631
0.7540 0.6561 0.2630
0.7800 0.1346 0.7306
0.8813 0.7804 0.8594
0.8816 0.3599 0.8597
0.9351 0.6706 0.6563
0.1196 0.0350 0.9293
0.8804 0.9650 0.0707
0.1310 0.2191 0.5616
0.4973 0.3998 0.2007
0.5027 0.6002 0.7993
0.8690 0.7809 0.4384
0.9999 0.2486 0.9999
0.0001 0.7514 0.0001
0.0519 0.0935 0.8127
0.1753 0.5982 0.8033
0.1955 0.7877 0.4250
0.2217 0.4195 0.6124
0.2223 0.9683 0.6124
0.2752 0.2734 0.4537
0.3714 0.5878 0.2579
0.3715 0.1546 0.2577
0.4026 0.4502 0.0997
0.5974 0.5498 0.9003
0.6285 0.8454 0.7423
0.6286 0.4122 0.7421
0.7248 0.7266 0.5463
0.7777 0.0317 0.3876
0.7783 0.5805 0.3876
0.8045 0.2123 0.5750
0.8247 0.4018 0.1967
0.9481 0.9065 0.1873
```

Entry 8:
Density functional theory data (SCAN) for Li2ZnAu at its PBEsol-relaxed geometry.

## Properties
SG = Cm (8)
DFT total energy = -22.289 eV/atom
ΔH_f (0 K) = -0.426 eV per atom

The structure in POSCAR format:
```
Li2ZnAu
1.0
4.5165 -1.4283 0.0000
4.5165 1.4283 0.0000
-0.9252 0.0000 4.5782
Li Zn Au
2 1 1
direct
0.0000 0.0000 0.0000
0.2340 0.2340 0.7458
0.4874 0.4874 0.4834
0.7426 0.7426 0.2530
```

Which value of DFT total energy does entry 4 give?
-38.330 eV/atom

Which of these has the lowest DFT total energy?
NiAgHg

What is the DFT total energy in the fourth record?
-38.330 eV/atom

What is the DFT total energy in the seventh record?
-7.714 eV/atom